No. 1
# Zr2CoSb (PBE-GGA, optimized geometry)
data_Zr2CoSb
_cell_length_a 4.7724
_cell_length_b 4.7724
_cell_length_c 4.7724
_cell_angle_alpha 60.00
_cell_angle_beta 60.00
_cell_angle_gamma 60.00
_space_group_name_H-M_alt 'P 1'
_space_group_IT_number 1
loop_
_space_group_symop_operation_xyz
'x,y,z'
loop_
_atom_site_label
_atom_site_fract_x
_atom_site_fract_y
_atom_site_fract_z
_atom_site_occupancy
Co1 0.5000 0.5000 0.5000 1
Sb1 0.7500 0.7500 0.7500 1
Zr1 0.0000 0.0000 0.0000 1
Zr2 0.2500 0.2500 0.2500 1
# final energy	-6.998	eV/atom
# theoretical density	7845	kg/m3

=====

No. 2
# Zr5Co3Sb (PBE-GGA, optimized geometry)
data_Zr5Co3Sb
_cell_length_a 8.4293
_cell_length_b 8.4304
_cell_length_c 5.5814
_cell_angle_alpha 90.00
_cell_angle_beta 90.00
_cell_angle_gamma 120.00
_space_group_name_H-M_alt 'P 1'
_space_group_IT_number 1
loop_
_space_group_symop_operation_xyz
'x,y,z'
loop_
_atom_site_label
_atom_site_fract_x
_atom_site_fract_y
_atom_site_fract_z
_atom_site_occupancy
Sb1 0.0000 0.0000 0.0000 1
Sb2 0.0000 0.0000 0.5000 1
Co1 0.0000 0.4065 0.2500 1
Co2 0.5935 0.5935 0.2500 1
Co3 0.4064 0.0000 0.2500 1
Co4 0.0000 0.5935 0.7500 1
Co5 0.4065 0.4065 0.7500 1
Co6 0.5936 0.0000 0.7500 1
Zr1 0.0000 0.6937 0.2500 1
Zr2 0.3063 0.3063 0.2500 1
Zr3 0.6937 0.0000 0.2500 1
Zr4 0.0000 0.3063 0.7500 1
Zr5 0.6937 0.6937 0.7500 1
Zr6 0.3063 0.0000 0.7500 1
Zr7 0.6667 0.3334 0.0000 1
Zr8 0.3333 0.6666 0.5000 1
Zr9 0.3333 0.6666 0.0000 1
Zr10 0.6667 0.3334 0.5000 1
# final energy	-7.723	eV/atom
# theoretical density	7296	kg/m3

=====

No. 3
# Zr2CoSb2 (PBE-GGA, optimized geometry)
data_Zr2CoSb2
_cell_length_a 6.6541
_cell_length_b 6.6541
_cell_length_c 4.6029
_cell_angle_alpha 90.00
_cell_angle_beta 90.00
_cell_angle_gamma 90.00
_space_group_name_H-M_alt 'P 1'
_space_group_IT_number 1
loop_
_space_group_symop_operation_xyz
'x,y,z'
loop_
_atom_site_label
_atom_site_fract_x
_atom_site_fract_y
_atom_site_fract_z
_atom_site_occupancy
Sb1 0.3471 0.8471 0.0000 1
Sb2 0.8471 0.6529 0.0000 1
Sb3 0.6529 0.1529 0.0000 1
Sb4 0.1529 0.3471 0.0000 1
Co1 0.0000 0.0000 0.0000 1
Co2 0.5000 0.5000 0.0000 1
Zr1 0.1631 0.6631 0.5000 1
Zr2 0.6631 0.8369 0.5000 1
Zr3 0.8369 0.3369 0.5000 1
Zr4 0.3369 0.1631 0.5000 1
# final energy	-6.759	eV/atom
# theoretical density	7902	kg/m3

=====

No. 4
# Sc4Co5 (PBE-GGA, optimized geometry)
data_Sc4Co5
_cell_length_a 6.2088
_cell_length_b 6.2088
_cell_length_c 6.2088
_cell_angle_alpha 95.94
_cell_angle_beta 95.94
_cell_angle_gamma 142.45
_space_group_name_H-M_alt 'P 1'
_space_group_IT_number 1
loop_
_space_group_symop_operation_xyz
'x,y,z'
loop_
_atom_site_label
_atom_site_fract_x
_atom_site_fract_y
_atom_site_fract_z
_atom_site_occupancy
Sc1 0.2873 0.0000 0.2873 1
Sc2 0.7127 0.0000 0.7127 1
Sc3 0.0000 0.7127 0.7127 1
Sc4 0.0000 0.2873 0.2873 1
Co1 0.0000 0.0000 0.0000 1
Co2 0.3462 0.6538 0.0000 1
Co3 0.6538 0.6538 0.3076 1
Co4 0.3462 0.3462 0.6924 1
Co5 0.6538 0.3462 0.0000 1
# energy above the lowest structure with this stoichiometry	0.0	meV/atom
# final energy	-6.922	eV/atom
# energy of formation	-0.16	eV per atom
# theoretical density	5706	kg/m3

=====

Question: Which value of final energy does entry 2 give?
Answer: -7.723 eV/atom